The following is a DFT calculation (GGA-PBE) of SmHoBeNi after structural relaxation.

Output
Symmetry: F-43m (216)
Volume (Å³ per atom): 20.10
Formation enthalpy at 0 K (meV/atom): -94

Cell and atoms, written as POSCAR:
```
SmHoBeNi
1.0
4.844 0.000 0.000
2.422 4.195 0.000
2.422 1.398 3.955
Ni Ho Sm Be
1 1 1 1
Cartesian
0.000 0.000 0.000
7.267 4.195 2.967
2.422 1.398 0.989
4.844 2.797 1.978
```

=====

The following is a DFT calculation (GGA-PBE) of TbHoBeNi after structural relaxation.

Output
Symmetry: F-43m (216)
Volume (Å³ per atom): 19.51
Formation enthalpy at 0 K (meV/atom): -137

Cell and atoms, written as POSCAR:
```
TbHoBeNi
1.0
4.796 0.000 0.000
2.398 4.154 0.000
2.398 1.385 3.916
Ni Tb Ho Be
1 1 1 1
Cartesian
2.398 1.385 0.979
0.000 0.000 0.000
4.796 2.769 1.958
7.195 4.154 2.937
```

=====

The following is a DFT calculation (GGA-PBE) of HoTmBeNi after structural relaxation.

Output
Symmetry: F-43m (216)
Volume (Å³ per atom): 18.93
Formation enthalpy at 0 K (meV/atom): -170

Cell and atoms, written as POSCAR:
```
HoTmBeNi
1.0
-4.369 1.725 0.698
-3.755 -2.208 -1.891
-3.049 -2.322 2.804
Ni Tm Ho Be
1 1 1 1
Cartesian
-2.793 -0.701 0.403
0.000 0.000 0.000
-5.586 -1.403 0.806
-8.380 -2.104 1.209
```

=====

The following is a DFT calculation (GGA-PBE) of YHoBeNi after structural relaxation.

Output
Symmetry: F-43m (216)
Volume (Å³ per atom): 19.49
Formation enthalpy at 0 K (meV/atom): -140

Cell and atoms, written as POSCAR:
```
YHoBeNi
1.0
4.795 0.000 0.000
2.398 4.153 0.000
2.398 1.384 3.915
Y Ni Ho Be
1 1 1 1
Cartesian
4.795 2.768 1.958
7.193 4.153 2.936
0.000 0.000 0.000
2.398 1.384 0.979
```

=====

The following is a DFT calculation (GGA-PBE) of HoBeZn6Ni after structural relaxation.

Output
Symmetry: Imma (74)
Volume (Å³ per atom): 16.33
Formation enthalpy at 0 K (meV/atom): 57

Cell and atoms, written as POSCAR:
```
HoBeZn6Ni
1.0
6.629 0.000 0.000
0.000 8.269 0.000
-3.315 -4.135 5.363
Ho Be Zn Ni
2 2 12 2
Cartesian
3.315 2.067 2.157
0.000 2.067 3.205
3.315 4.135 0.000
3.315 0.000 0.000
3.315 6.202 0.898
3.315 -2.067 5.304
5.295 -0.033 1.333
1.334 4.167 1.333
1.334 -0.033 1.333
5.295 4.167 1.333
0.000 -2.067 4.465
0.000 6.202 0.059
-1.981 4.167 4.030
1.981 -0.033 4.030
1.981 4.167 4.030
-1.981 -0.033 4.030
1.657 -2.067 2.681
-1.657 -2.067 2.681
```

=====

The following is a DFT calculation (GGA-PBE) of Ho2BeZn12Ni3 after structural relaxation.

Output
Symmetry: R-3m (166)
Volume (Å³ per atom): 16.61
Formation enthalpy at 0 K (meV/atom): 24

Cell and atoms, written as POSCAR:
```
Ho2BeZn12Ni3
1.0
11.009 3.203 2.272
8.222 7.991 2.272
8.222 4.786 6.791
Ho Be Zn Ni
2 1 12 3
Cartesian
17.595 10.242 7.264
9.858 5.738 4.070
0.000 0.000 0.000
14.733 8.576 7.671
20.251 11.788 6.662
18.857 12.579 8.923
16.036 7.836 5.558
20.251 10.184 8.923
14.733 10.074 5.558
12.719 7.404 3.664
7.202 4.192 4.672
8.596 3.400 2.412
11.417 8.144 5.776
7.202 5.796 2.412
12.719 5.905 5.776
5.505 1.601 1.136
4.111 3.996 1.136
4.111 2.393 3.396
```

=====

no.,spin magnetization (μB per atom)
1,0.0000
2,0.0000
3,0.0000
4,0.0000
5,0.0000
6,0.0000